No. 1
Computed, not measured: crystalline Ac8Nd2Cd at its relaxed geometry at the PBE level of DFT.

```
11
Lattice="10.541 -3.091 0.000 10.541 3.091 0.000 -0.454 0.000 7.015" Properties=species:S:1:pos:R:3 pbc="T T T"
Ac 0.755 0.000 1.797
Ac 2.975 0.000 5.641
Ac 6.775 0.000 6.145
Ac 8.638 0.000 2.777
Ac 11.991 0.000 4.238
Ac 13.854 0.000 0.870
Ac 17.654 0.000 1.374
Ac 19.873 0.000 5.218
Nd 4.874 0.000 2.392
Nd 15.755 0.000 4.623
Cd 10.541 0.000 0.000
```

Results
- distance to the lowest polymorph of the same formula (eV/atom) = 0.000
- crystal system = monoclinic
- calculated formation energy (eV/atom) = 0.003
- calculated density (Mg/m³) = 8.05

No. 2
Computed, not measured: crystalline SrCr2Hg at its relaxed geometry at the PBE level of DFT.

```
8
Lattice="4.798 0.000 0.000 0.000 4.798 0.000 0.000 0.000 7.922" Properties=species:S:1:pos:R:3 pbc="T T T"
Sr 0.000 0.000 0.000
Sr 2.399 2.399 3.961
Cr 0.000 2.399 1.980
Cr 0.000 2.399 5.941
Cr 2.399 0.000 1.980
Cr 2.399 0.000 5.941
Hg 0.000 0.000 3.961
Hg 2.399 2.399 0.000
```

Results
- distance to the lowest polymorph of the same formula (eV/atom) = 0.361
- crystal system = tetragonal
- calculated formation energy (eV/atom) = 0.660
- calculated density (Mg/m³) = 7.14

No. 3
Computed, not measured: crystalline Ir2PtBr at its relaxed geometry at the PBE level of DFT.

```
8
Lattice="2.757 0.000 0.000 0.000 4.920 0.000 0.000 0.000 10.142" Properties=species:S:1:pos:R:3 pbc="T T T"
Ir 0.000 0.000 0.000
Ir 0.000 2.460 2.200
Ir 1.379 0.000 2.200
Ir 1.379 2.460 0.000
Pt 0.000 0.000 4.562
Pt 1.379 2.460 4.562
Br 0.000 2.460 7.601
Br 1.379 0.000 7.601
```

Results
- distance to the lowest polymorph of the same formula (eV/atom) = 0.124
- crystal system = orthorhombic
- calculated density (Mg/m³) = 15.92
- formation energy from raw total energies (meV/atom) = 626

No. 4
Computed, not measured: crystalline Rb2Ga3 at its relaxed geometry at the PBE level of DFT.

```
10
Lattice="6.009 -3.923 0.000 6.009 3.923 0.000 -2.348 0.000 7.343" Properties=species:S:1:pos:R:3 pbc="T T T"
Rb 1.757 0.432 1.247
Rb 0.583 -0.432 4.918
Rb 9.087 0.432 2.424
Rb 7.913 -0.432 6.096
Ga 4.035 1.045 4.097
Ga 5.422 1.238 1.836
Ga 4.461 1.045 6.917
Ga 5.209 -1.045 0.425
Ga 4.248 -1.238 5.507
Ga 5.635 -1.045 3.246
```

Results
- crystal system = monoclinic
- calculated formation energy (eV/atom) = -0.061
- calculated density (Mg/m³) = 3.65

No. 5
Computed, not measured: crystalline K2BaTa at its relaxed geometry at the PBE level of DFT.

```
4
Lattice="3.423 0.000 0.000 0.000 6.881 0.000 -0.204 0.000 6.623" Properties=species:S:1:pos:R:3 pbc="T T T"
K 0.724 0.000 1.506
K 2.496 0.000 5.116
Ba -0.102 3.441 3.311
Ta 1.712 3.441 0.000
```

Results
- distance to the lowest polymorph of the same formula (eV/atom) = 0.212
- crystal system = monoclinic
- calculated formation energy (eV/atom) = 1.196
- calculated density (Mg/m³) = 4.22

No. 6
Computed, not measured: crystalline CaRePb2 at its relaxed geometry at the PBE level of DFT.

```
8
Lattice="9.381 0.000 0.000 0.000 3.559 0.000 -1.382 0.000 5.868" Properties=species:S:1:pos:R:3 pbc="T T T"
Ca 0.000 0.000 0.000
Ca 4.691 1.779 0.000
Re -0.691 1.779 2.934
Re 4.000 0.000 2.934
Pb 1.212 0.000 4.151
Pb 2.096 1.779 1.717
Pb 5.903 1.779 4.151
Pb 6.787 0.000 1.717
```

Results
- distance to the lowest polymorph of the same formula (eV/atom) = 0.062
- crystal system = monoclinic
- calculated formation energy (eV/atom) = 0.441
- calculated density (Mg/m³) = 10.86